Run a
# BaZrMn (PBE, relaxed)
data_BaZrMn
_space_group_name_H-M_alt 'P 3 m 1'
_space_group_IT_number 156
_cell_length_a 3.5956
_cell_length_b 3.5956
_cell_length_c 7.3864
_cell_angle_alpha 90.00
_cell_angle_beta 90.00
_cell_angle_gamma 120.00
loop_
_space_group_symop_operation_xyz
'x,y,z'
'-y,x-y,z'
'-x+y,-x,z'
'-y,-x,z'
'-x+y,y,z'
'x,x-y,z'
loop_
_atom_site_label
_atom_site_fract_x
_atom_site_fract_y
_atom_site_fract_z
Ba1 0.0000 0.0000 0.0000
Zr1 0.3333 0.6667 0.5619
Mn1 0.6667 0.3333 0.3391
# Crystal system: trigonal
# M_tot, μB per cell: 1.717

Run b
# BaZrMn (PBE, relaxed)
data_BaZrMn
_space_group_name_H-M_alt 'I 4 m m'
_space_group_IT_number 107
_space_group_name_Hall 'I 4 -2'
_cell_length_a 3.6193
_cell_length_b 3.6193
_cell_length_c 12.8742
_cell_angle_alpha 90.00
_cell_angle_beta 90.00
_cell_angle_gamma 90.00
loop_
_atom_site_label
_atom_site_fract_x
_atom_site_fract_y
_atom_site_fract_z
Ba1 0.0000 0.0000 0.0000
Zr1 0.0000 0.0000 0.2728
Mn1 0.0000 0.0000 0.6990
# Crystal system: tetragonal
# M_tot, μB per cell: 3.930

Run c
# BaZrMn (PBE, relaxed)
data_BaZrMn
_space_group_name_H-M_alt 'P -6 m 2'
_space_group_IT_number 187
_space_group_name_Hall 'P -6 2'
_cell_length_a 5.1878
_cell_length_b 5.1878
_cell_length_c 3.6188
_cell_angle_alpha 90.00
_cell_angle_beta 90.00
_cell_angle_gamma 120.00
loop_
_atom_site_label
_atom_site_fract_x
_atom_site_fract_y
_atom_site_fract_z
Ba1 0.0000 0.0000 0.0000
Zr1 0.3333 0.6667 0.5000
Mn1 0.6667 0.3333 0.5000
# Crystal system: hexagonal
# M_tot, μB per cell: 2.673

run b takes first place; second place is 23.1 kJ/mol of atoms up.

Run a
# BaZrMn (PBE, relaxed)
data_BaZrMn
_space_group_name_H-M_alt 'F -4 3 m'
_space_group_IT_number 216
_space_group_name_Hall 'F -4 2 3'
_cell_length_a 7.1108
_cell_length_b 7.1108
_cell_length_c 7.1108
_cell_angle_alpha 90.00
_cell_angle_beta 90.00
_cell_angle_gamma 90.00
loop_
_atom_site_label
_atom_site_fract_x
_atom_site_fract_y
_atom_site_fract_z
Ba1 0.0000 0.0000 0.0000
Zr1 0.0000 0.0000 0.5000
Mn1 0.2500 0.2500 0.2500
# Crystal system: cubic
# M_tot, μB per cell: 4.810

Run b
# BaZrMn (PBE, relaxed)
data_BaZrMn
_space_group_name_H-M_alt 'F -4 3 m'
_space_group_IT_number 216
_space_group_name_Hall 'F -4 2 3'
_cell_length_a 7.0336
_cell_length_b 7.0336
_cell_length_c 7.0336
_cell_angle_alpha 90.00
_cell_angle_beta 90.00
_cell_angle_gamma 90.00
loop_
_atom_site_label
_atom_site_fract_x
_atom_site_fract_y
_atom_site_fract_z
Ba1 0.0000 0.0000 0.0000
Zr1 0.2500 0.2500 0.2500
Mn1 0.2500 0.2500 0.7500
# Crystal system: cubic
# M_tot, μB per cell: 12.247

run a takes first place; second place is 63.5 kJ/mol of atoms up.